Record 1
A plane-wave DFT calculation with PBE was carried out for crystalline Ba3Sr5 at its relaxed geometry. Values from VASP.

The energy above the lowest structure with this stoichiometry is 0.0042 eV per atom. The volume is 58.28 Å³ per atom. The density of states at the Fermi level comes out at 9.20 states/eV per cell. Its symmetry is Cmmm. The calculation puts the calculated total energy at -1.764 eV/atom. The value obtained for the magnetization is 0.000 μB/f.u. For the formation enthalpy at 0 K, the calculation gives 0.01 eV/atom.

Geometry as Quantum ESPRESSO input:
```
&SYSTEM
  ibrav = 0, nat = 8, ntyp = 2
/
ATOMIC_SPECIES
Ba 137.33 Ba.upf
Sr 87.62 Sr.upf
CELL_PARAMETERS angstrom
6.161 -6.177 0.000
6.161 6.177 0.000
0.000 0.000 6.126
ATOMIC_POSITIONS crystal
Ba 0.000 0.000 0.000
Ba 0.253 0.747 0.500
Ba 0.747 0.253 0.500
Sr 0.000 0.500 0.000
Sr 0.252 0.252 0.500
Sr 0.500 0.000 0.000
Sr 0.500 0.500 0.000
Sr 0.748 0.748 0.500
```

***

Record 2
A plane-wave DFT calculation with PBE was carried out for crystalline Ba2Sr at its relaxed geometry. Values from VASP.

The energy above the lowest structure with this stoichiometry is 0.0443 eV per atom. The volume is 60.98 Å³ per atom. The density of states at the Fermi level comes out at 10.92 states/eV per cell. Its symmetry is P6_3/mmc. The calculation puts the calculated total energy at -1.797 eV/atom. The value obtained for the magnetization is 0.001 μB/f.u. For the formation enthalpy at 0 K, the calculation gives 0.05 eV/atom.

Geometry as Quantum ESPRESSO input:
```
&SYSTEM
  ibrav = 0, nat = 6, ntyp = 2
/
ATOMIC_SPECIES
Ba 137.33 Ba.upf
Sr 87.62 Sr.upf
CELL_PARAMETERS angstrom
7.083 0.000 0.000
-3.541 6.134 0.000
0.000 0.000 8.421
ATOMIC_POSITIONS crystal
Ba 0.000 0.000 0.000
Ba 0.000 0.000 0.500
Ba 0.333 0.667 0.250
Ba 0.667 0.333 0.750
Sr 0.333 0.667 0.750
Sr 0.667 0.333 0.250
```

***

Record 3
A plane-wave DFT calculation with PBE was carried out for crystalline Ba2Sr at its relaxed geometry. Values from VASP.

The energy above the lowest structure with this stoichiometry is 0.2853 eV per atom. The volume is 74.04 Å³ per atom. The density of states at the Fermi level comes out at 5.33 states/eV per cell. Its symmetry is P4/mmm. The calculation puts the calculated total energy at -1.556 eV/atom. The value obtained for the magnetization is 0.779 μB/f.u. For the formation enthalpy at 0 K, the calculation gives 0.29 eV/atom.

Geometry as Quantum ESPRESSO input:
```
&SYSTEM
  ibrav = 0, nat = 3, ntyp = 2
/
ATOMIC_SPECIES
Ba 137.33 Ba.upf
Sr 87.62 Sr.upf
CELL_PARAMETERS angstrom
7.022 0.000 0.000
0.000 7.022 0.000
0.000 0.000 4.504
ATOMIC_POSITIONS crystal
Ba 0.000 0.500 0.000
Ba 0.500 0.000 0.000
Sr 0.000 0.000 0.500
```

***

Record 4
A plane-wave DFT calculation with PBE was carried out for crystalline Ba2Sr3 at its relaxed geometry. Values from VASP.

The energy above the lowest structure with this stoichiometry is 0.1378 eV per atom. The volume is 57.09 Å³ per atom. The density of states at the Fermi level comes out at 14.03 states/eV per cell. Its symmetry is R-3c. The calculation puts the calculated total energy at -1.625 eV/atom. The value obtained for the magnetization is 0.000 μB/f.u. For the formation enthalpy at 0 K, the calculation gives 0.15 eV/atom.

Geometry as Quantum ESPRESSO input:
```
&SYSTEM
  ibrav = 0, nat = 10, ntyp = 2
/
ATOMIC_SPECIES
Ba 137.33 Ba.upf
Sr 87.62 Sr.upf
CELL_PARAMETERS angstrom
5.910 3.412 4.718
-5.910 3.412 4.718
0.000 -6.824 4.718
ATOMIC_POSITIONS crystal
Ba 0.125 0.125 0.125
Ba 0.375 0.375 0.375
Ba 0.625 0.625 0.625
Ba 0.875 0.875 0.875
Sr 0.078 0.750 0.422
Sr 0.250 0.578 0.922
Sr 0.422 0.078 0.750
Sr 0.578 0.922 0.250
Sr 0.750 0.422 0.078
Sr 0.922 0.250 0.578
```

***

Record 5
A plane-wave DFT calculation with PBE was carried out for crystalline BaSr3 at its relaxed geometry. Values from VASP.

The energy above the lowest structure with this stoichiometry is 0.0064 eV per atom. The volume is 56.93 Å³ per atom. The density of states at the Fermi level comes out at 29.30 states/eV per cell. Its symmetry is Pmmn. The calculation puts the calculated total energy at -1.735 eV/atom. The value obtained for the magnetization is 0.000 μB/f.u. For the formation enthalpy at 0 K, the calculation gives 0.01 eV/atom.

Geometry as Quantum ESPRESSO input:
```
&SYSTEM
  ibrav = 0, nat = 24, ntyp = 2
/
ATOMIC_SPECIES
Ba 137.33 Ba.upf
Sr 87.62 Sr.upf
CELL_PARAMETERS angstrom
8.666 0.000 0.000
0.000 21.174 0.000
0.000 0.000 7.447
ATOMIC_POSITIONS crystal
Ba 0.250 0.083 0.169
Ba 0.250 0.417 0.169
Ba 0.250 0.750 0.494
Ba 0.750 0.250 0.506
Ba 0.750 0.583 0.831
Ba 0.750 0.917 0.831
Sr 0.000 0.083 0.668
Sr 0.000 0.417 0.668
Sr 0.000 0.583 0.332
Sr 0.000 0.917 0.332
Sr 0.001 0.250 0.006
Sr 0.250 0.250 0.510
Sr 0.250 0.583 0.832
Sr 0.250 0.917 0.832
Sr 0.499 0.250 0.006
Sr 0.500 0.083 0.668
Sr 0.500 0.417 0.668
Sr 0.500 0.583 0.332
Sr 0.500 0.917 0.332
Sr 0.501 0.750 0.994
Sr 0.750 0.083 0.168
Sr 0.750 0.417 0.168
Sr 0.750 0.750 0.490
Sr 0.999 0.750 0.994
```

***

Record 6
A plane-wave DFT calculation with PBE was carried out for crystalline Ba4Sr11 at its relaxed geometry. Values from VASP.

The volume is 57.67 Å³ per atom. The density of states at the Fermi level comes out at 36.95 states/eV per cell. Its symmetry is P4_2/mnm. The calculation puts the calculated total energy at -1.714 eV/atom. The value obtained for the magnetization is 0.000 μB/f.u. For the formation enthalpy at 0 K, the calculation gives 0.03 eV/atom.

Geometry as Quantum ESPRESSO input:
```
&SYSTEM
  ibrav = 0, nat = 30, ntyp = 2
/
ATOMIC_SPECIES
Ba 137.33 Ba.upf
Sr 87.62 Sr.upf
CELL_PARAMETERS angstrom
14.874 0.000 0.000
0.000 14.874 0.000
0.000 0.000 7.820
ATOMIC_POSITIONS crystal
Ba 0.041 0.366 0.000
Ba 0.134 0.541 0.500
Ba 0.366 0.041 0.000
Ba 0.459 0.866 0.500
Ba 0.541 0.134 0.500
Ba 0.634 0.959 0.000
Ba 0.866 0.459 0.500
Ba 0.959 0.634 0.000
Sr 0.000 0.000 0.500
Sr 0.069 0.259 0.500
Sr 0.098 0.098 0.000
Sr 0.179 0.821 0.249
Sr 0.179 0.821 0.751
Sr 0.241 0.569 0.000
Sr 0.259 0.069 0.500
Sr 0.321 0.321 0.251
Sr 0.321 0.321 0.749
Sr 0.402 0.598 0.500
Sr 0.431 0.759 0.000
Sr 0.500 0.500 0.000
Sr 0.569 0.241 0.000
Sr 0.598 0.402 0.500
Sr 0.679 0.679 0.251
Sr 0.679 0.679 0.749
Sr 0.741 0.931 0.500
Sr 0.759 0.431 0.000
Sr 0.821 0.179 0.249
Sr 0.821 0.179 0.751
Sr 0.902 0.902 0.000
Sr 0.931 0.741 0.500
```

***

Record 7
A plane-wave DFT calculation with PBE was carried out for crystalline Ba3Sr at its relaxed geometry. Values from VASP.

The energy above the lowest structure with this stoichiometry is 0.0132 eV per atom. The volume is 61.20 Å³ per atom. The density of states at the Fermi level comes out at 12.49 states/eV per cell. Its symmetry is Pmmn. The calculation puts the calculated total energy at -1.850 eV/atom. The value obtained for the magnetization is 0.000 μB/f.u. For the formation enthalpy at 0 K, the calculation gives 0.01 eV/atom.

Geometry as Quantum ESPRESSO input:
```
&SYSTEM
  ibrav = 0, nat = 8, ntyp = 2
/
ATOMIC_SPECIES
Ba 137.33 Ba.upf
Sr 87.62 Sr.upf
CELL_PARAMETERS angstrom
7.269 0.000 0.000
0.000 8.799 0.000
0.000 0.000 7.656
ATOMIC_POSITIONS crystal
Ba 0.250 0.001 0.166
Ba 0.250 0.499 0.166
Ba 0.250 0.750 0.664
Ba 0.750 0.250 0.336
Ba 0.750 0.501 0.834
Ba 0.750 0.999 0.834
Sr 0.250 0.250 0.668
Sr 0.750 0.750 0.332
```

***

Record 8
A plane-wave DFT calculation with PBE was carried out for crystalline Ba3Sr at its relaxed geometry. Values from VASP.

The energy above the lowest structure with this stoichiometry is 0.0181 eV per atom. The volume is 61.73 Å³ per atom. The density of states at the Fermi level comes out at 5.97 states/eV per cell. Its symmetry is I4/mmm. The calculation puts the calculated total energy at -1.845 eV/atom. The value obtained for the magnetization is 0.000 μB/f.u. For the formation enthalpy at 0 K, the calculation gives 0.02 eV/atom.

Geometry as Quantum ESPRESSO input:
```
&SYSTEM
  ibrav = 0, nat = 4, ntyp = 2
/
ATOMIC_SPECIES
Ba 137.33 Ba.upf
Sr 87.62 Sr.upf
CELL_PARAMETERS angstrom
-3.125 3.125 6.322
3.125 -3.125 6.322
3.125 3.125 -6.322
ATOMIC_POSITIONS crystal
Ba 0.000 0.000 0.000
Ba 0.250 0.750 0.500
Ba 0.750 0.250 0.500
Sr 0.500 0.500 0.000
```

***

Record 9
A plane-wave DFT calculation with PBE was carried out for crystalline Ba2Sr13 at its relaxed geometry. Values from VASP.

The volume is 54.56 Å³ per atom. The density of states at the Fermi level comes out at 16.20 states/eV per cell. Its symmetry is P-1. The calculation puts the calculated total energy at -1.710 eV/atom. The value obtained for the magnetization is 0.000 μB/f.u. For the formation enthalpy at 0 K, the calculation gives 0.00 eV/atom.

Geometry as Quantum ESPRESSO input:
```
&SYSTEM
  ibrav = 0, nat = 15, ntyp = 2
/
ATOMIC_SPECIES
Ba 137.33 Ba.upf
Sr 87.62 Sr.upf
CELL_PARAMETERS angstrom
7.948 0.000 0.000
1.491 10.549 0.000
1.455 4.089 9.760
ATOMIC_POSITIONS crystal
Ba 0.067 0.399 0.234
Ba 0.933 0.601 0.766
Sr 0.000 0.000 0.500
Sr 0.133 0.803 0.967
Sr 0.200 0.200 0.699
Sr 0.269 0.601 0.433
Sr 0.334 0.000 0.167
Sr 0.404 0.399 0.899
Sr 0.463 0.801 0.633
Sr 0.537 0.199 0.367
Sr 0.596 0.601 0.101
Sr 0.666 0.000 0.833
Sr 0.731 0.399 0.567
Sr 0.800 0.800 0.301
Sr 0.867 0.197 0.033
```

***

Record 10
A plane-wave DFT calculation with PBE was carried out for crystalline Ba5Sr3 at its relaxed geometry. Values from VASP.

The energy above the lowest structure with this stoichiometry is 0.0000 eV per atom. The volume is 59.31 Å³ per atom. The density of states at the Fermi level comes out at 10.30 states/eV per cell. Its symmetry is Cmmm. The calculation puts the calculated total energy at -1.832 eV/atom. The value obtained for the magnetization is 0.000 μB/f.u. For the formation enthalpy at 0 K, the calculation gives 0.00 eV/atom.

Geometry as Quantum ESPRESSO input:
```
&SYSTEM
  ibrav = 0, nat = 8, ntyp = 2
/
ATOMIC_SPECIES
Ba 137.33 Ba.upf
Sr 87.62 Sr.upf
CELL_PARAMETERS angstrom
4.926 -6.937 0.000
4.926 6.937 0.000
0.000 0.000 6.943
ATOMIC_POSITIONS crystal
Ba 0.000 0.000 0.000
Ba 0.000 0.500 0.000
Ba 0.250 0.750 0.500
Ba 0.500 0.000 0.000
Ba 0.750 0.250 0.500
Sr 0.252 0.252 0.500
Sr 0.500 0.500 0.000
Sr 0.748 0.748 0.500
```